1.
First-principles (GGA-PBEsol) data for crystalline ZnCuNi2 at its relaxed geometry, as listed in Alexandria.

```
data_ZnCuNi2
_cell_length_a 2.821
_cell_length_b 2.821
_cell_length_c 5.579
_cell_angle_alpha 90.00
_cell_angle_beta 90.00
_cell_angle_gamma 90.00
_space_group_name_H-M_alt 'P 4/m m m'
_space_group_IT_number 123
_space_group_name_Hall '-P 4 2'
loop_
_atom_site_label
_atom_site_type_symbol
_atom_site_fract_x
_atom_site_fract_y
_atom_site_fract_z
Zn1 Zn 0.000 0.000 0.000
Cu1 Cu 0.000 0.000 0.500
Ni1 Ni 0.500 0.500 0.253
```

Formation energy ... -112.8 meV/atom

---

2.
First-principles (GGA-PBEsol) data for crystalline MoRuPt2 at its relaxed geometry, as listed in Alexandria.

```
data_MoRuPt2
_cell_length_a 2.702
_cell_length_b 3.981
_cell_length_c 5.381
_cell_angle_alpha 90.00
_cell_angle_beta 90.00
_cell_angle_gamma 90.00
_space_group_name_H-M_alt 'P m m m'
_space_group_IT_number 47
loop_
_space_group_symop_operation_xyz
'x,y,z'
'-x,-y,-z'
'-x,-y,z'
'x,y,-z'
'x,-y,-z'
'-x,y,z'
'-x,y,-z'
'x,-y,z'
loop_
_atom_site_label
_atom_site_type_symbol
_atom_site_fract_x
_atom_site_fract_y
_atom_site_fract_z
Mo1 Mo 0.000 0.000 0.000
Ru1 Ru 0.000 0.000 0.500
Pt1 Pt 0.500 0.500 0.250
```

Formation energy ... -133.5 meV/atom
Relative energy among the computed polymorphs ... 5.9 kJ per mole of atoms

---

3.
First-principles (GGA-PBEsol) data for crystalline AsOsPb2 at its relaxed geometry, as listed in Alexandria.

```
data_AsOsPb2
_cell_length_a 6.357
_cell_length_b 7.902
_cell_length_c 3.288
_cell_angle_alpha 90.00
_cell_angle_beta 90.00
_cell_angle_gamma 90.00
_space_group_name_H-M_alt 'C m m m'
_space_group_IT_number 65
_space_group_name_Hall '-C 2 2'
loop_
_atom_site_label
_atom_site_type_symbol
_atom_site_fract_x
_atom_site_fract_y
_atom_site_fract_z
As1 As 0.000 0.000 0.000
Os1 Os 0.000 0.500 0.000
Pb1 Pb 0.250 0.250 0.500
```

Formation energy ... 836.7 meV/atom

---

4.
First-principles (GGA-PBEsol) data for crystalline Li2AgF5 at its relaxed geometry, as listed in Alexandria.

```
data_Li2AgF5
_cell_length_a 4.428
_cell_length_b 10.105
_cell_length_c 9.585
_cell_angle_alpha 90.00
_cell_angle_beta 90.00
_cell_angle_gamma 90.00
_space_group_name_H-M_alt 'C m c m'
_space_group_IT_number 63
_space_group_name_Hall '-C 2c 2'
loop_
_atom_site_label
_atom_site_type_symbol
_atom_site_fract_x
_atom_site_fract_y
_atom_site_fract_z
Li1 Li 0.000 0.130 0.084
Ag1 Ag 0.000 0.197 0.750
F1 F 0.000 0.064 0.606
F2 F 0.000 0.214 0.250
F3 F 0.000 0.324 0.595
```

ΔE_f (raw) ... -1978 meV per atom
Relative energy among the computed polymorphs ... 2.0 kJ per mole of atoms

---

5.
First-principles (GGA-PBEsol) data for crystalline Fe3Re at its relaxed geometry, as listed in Alexandria.

```
data_Fe3Re
_cell_length_a 8.1225
_cell_length_b 8.1225
_cell_length_c 2.5228
_cell_angle_alpha 90.00
_cell_angle_beta 90.00
_cell_angle_gamma 120.00
_space_group_name_H-M_alt 'R -3 m'
_space_group_IT_number 166
_space_group_name_Hall '-R 3 2"'
loop_
_atom_site_label
_atom_site_type_symbol
_atom_site_fract_x
_atom_site_fract_y
_atom_site_fract_z
Fe1 Fe 0.0000 0.5000 0.0000
Re1 Re 0.0000 0.0000 0.0000
```

Formation energy ... 118.3 meV/atom

---

6.
First-principles (GGA-PBEsol) data for crystalline Cr2ReHg at its relaxed geometry, as listed in Alexandria.

```
data_Cr2ReHg
_cell_length_a 3.985
_cell_length_b 3.985
_cell_length_c 3.498
_cell_angle_alpha 90.00
_cell_angle_beta 90.00
_cell_angle_gamma 90.00
_space_group_name_H-M_alt 'P 4/m m m'
_space_group_IT_number 123
_space_group_name_Hall '-P 4 2'
loop_
_atom_site_label
_atom_site_type_symbol
_atom_site_fract_x
_atom_site_fract_y
_atom_site_fract_z
Cr1 Cr 0.000 0.500 0.000
Re1 Re 0.000 0.000 0.500
Hg1 Hg 0.500 0.500 0.500
```

Formation energy ... 593.3 meV/atom

---

7.
First-principles (GGA-PBEsol) data for crystalline Sc2BeC at its relaxed geometry, as listed in Alexandria.

```
data_Sc2BeC
_cell_length_a 3.2071
_cell_length_b 3.2071
_cell_length_c 24.0145
_cell_angle_alpha 90.00
_cell_angle_beta 90.00
_cell_angle_gamma 120.00
_space_group_name_H-M_alt 'R -3 m'
_space_group_IT_number 166
_space_group_name_Hall '-R 3 2"'
loop_
_atom_site_label
_atom_site_type_symbol
_atom_site_fract_x
_atom_site_fract_y
_atom_site_fract_z
Sc1 Sc 0.0000 0.0000 0.1158
Be1 Be 0.0000 0.0000 0.0000
C1 C 0.0000 0.0000 0.5000
```

Formation energy ... 213.9 meV/atom
Relative energy among the computed polymorphs ... 0.0 kJ per mole of atoms

---

8.
First-principles (GGA-PBEsol) data for crystalline BeAg2Pb at its relaxed geometry, as listed in Alexandria.

```
data_BeAg2Pb
_cell_length_a 6.619
_cell_length_b 6.619
_cell_length_c 6.619
_cell_angle_alpha 90.00
_cell_angle_beta 90.00
_cell_angle_gamma 90.00
_space_group_name_H-M_alt 'F m -3 m'
_space_group_IT_number 225
_space_group_name_Hall '-F 4 2 3'
loop_
_atom_site_label
_atom_site_type_symbol
_atom_site_fract_x
_atom_site_fract_y
_atom_site_fract_z
Be1 Be 0.000 0.000 0.000
Ag1 Ag 0.250 0.250 0.250
Pb1 Pb 0.000 0.000 0.500
```

Formation energy ... 458.9 meV/atom
Relative energy among the computed polymorphs ... 8.6 kJ per mole of atoms

---

9.
First-principles (GGA-PBEsol) data for crystalline Tl2HN at its relaxed geometry, as listed in Alexandria.

```
data_Tl2HN
_cell_length_a 6.223
_cell_length_b 6.223
_cell_length_c 6.223
_cell_angle_alpha 90.00
_cell_angle_beta 90.00
_cell_angle_gamma 90.00
_space_group_name_H-M_alt 'F m -3 m'
_space_group_IT_number 225
_space_group_name_Hall '-F 4 2 3'
loop_
_atom_site_label
_atom_site_type_symbol
_atom_site_fract_x
_atom_site_fract_y
_atom_site_fract_z
Tl1 Tl 0.250 0.250 0.250
H1 H 0.000 0.000 0.000
N1 N 0.000 0.000 0.500
```

DFT total energy ... -0.120 Ha/atom

---

10.
First-principles (GGA-PBEsol) data for crystalline ReBr at its relaxed geometry, as listed in Alexandria.

```
data_ReBr
_cell_length_a 3.154
_cell_length_b 3.154
_cell_length_c 3.154
_cell_angle_alpha 90.00
_cell_angle_beta 90.00
_cell_angle_gamma 90.00
_space_group_name_H-M_alt 'P m -3 m'
_space_group_IT_number 221
_space_group_name_Hall '-P 4 2 3'
loop_
_atom_site_label
_atom_site_type_symbol
_atom_site_fract_x
_atom_site_fract_y
_atom_site_fract_z
Re1 Re 0.000 0.000 0.000
Br1 Br 0.500 0.500 0.500
```

ΔE_f (raw) ... 1636 meV per atom
Relative energy among the computed polymorphs ... 22.9 kJ per mole of atoms

---

11.
First-principles (GGA-PBEsol) data for crystalline SiMoPt at its relaxed geometry, as listed in Alexandria.

```
data_SiMoPt
_cell_length_a 2.717
_cell_length_b 3.218
_cell_length_c 9.705
_cell_angle_alpha 90.00
_cell_angle_beta 90.00
_cell_angle_gamma 90.00
_space_group_name_H-M_alt 'I m m 2'
_space_group_IT_number 44
loop_
_space_group_symop_operation_xyz
'x,y,z'
'-x,-y,z'
'-x,y,z'
'x,-y,z'
'x+1/2,y+1/2,z+1/2'
'-x+1/2,-y+1/2,z+1/2'
'-x+1/2,y+1/2,z+1/2'
'x+1/2,-y+1/2,z+1/2'
loop_
_atom_site_label
_atom_site_type_symbol
_atom_site_fract_x
_atom_site_fract_y
_atom_site_fract_z
Si1 Si 0.000 0.000 0.000
Mo1 Mo 0.000 0.000 0.654
Pt1 Pt 0.000 0.000 0.354
```

ΔE_f (raw) ... -328 meV per atom

---

12.
First-principles (GGA-PBEsol) data for crystalline Na2Te2N at its relaxed geometry, as listed in Alexandria.

```
data_Na2Te2N
_cell_length_a 4.236
_cell_length_b 4.236
_cell_length_c 16.157
_cell_angle_alpha 90.00
_cell_angle_beta 90.00
_cell_angle_gamma 90.00
_space_group_name_H-M_alt 'I 4/m m m'
_space_group_IT_number 139
_space_group_name_Hall '-I 4 2'
loop_
_atom_site_label
_atom_site_type_symbol
_atom_site_fract_x
_atom_site_fract_y
_atom_site_fract_z
Na1 Na 0.000 0.000 0.092
Te1 Te 0.000 0.500 0.250
N1 N 0.000 0.000 0.500
```

ΔE_f (raw) ... 560 meV per atom

---

Record-wise total magnetic moment values, in μB/f.u.: 0.00, 0.00, 0.00, 0.00, 6.61, 0.53, 0.00, 0.00, 0.00, 0.00, 0.00, 1.89